A plane-wave DFT calculation with GGA-PBE was carried out for a relaxed structure of Ba3MgAu2.

```
Ba3MgAu2
1.0
9.080 0.000 -3.258
0.000 11.024 0.000
-0.933 0.000 9.601
Au Mg Ba
8 4 12
direct
0.792 0.439 0.209
0.275 0.250 0.225
0.225 0.750 0.275
0.208 0.561 0.791
0.292 0.061 0.709
0.708 0.939 0.291
0.775 0.250 0.725
0.725 0.750 0.775
0.049 0.677 0.951
0.951 0.323 0.049
0.549 0.823 0.451
0.451 0.177 0.549
0.164 0.280 0.837
0.416 0.543 0.169
0.836 0.720 0.163
0.830 0.543 0.584
0.664 0.220 0.337
0.670 0.043 0.916
0.330 0.957 0.084
0.916 0.957 0.669
0.170 0.457 0.416
0.584 0.457 0.831
0.084 0.043 0.331
0.336 0.780 0.663
```

Properties
Total magnetization: 0.0 μB per cell
ΔE_f: -2.9 eV/f.u.
Space group: No. 64

=====

A plane-wave DFT calculation with GGA-PBE was carried out for a relaxed structure of Ba3MgAu.

```
Ba3MgAu
1.0
0.906 1.283 4.775
6.646 -6.124 3.031
9.136 4.937 -0.414
Mg Ba Au
2 6 2
direct
0.437 0.689 0.437
0.563 0.311 0.563
0.832 0.023 0.313
0.862 0.563 0.713
0.138 0.437 0.287
0.409 0.238 0.944
0.591 0.762 0.056
0.168 0.977 0.687
0.231 0.617 0.920
0.769 0.383 0.080
```

Properties
Total magnetization: 0.0 μB per cell
Energy above the most stable polymorph in this dataset: 0.0 meV/atom
ΔE_f: -1.4 eV/f.u.
Space group: No. 12

=====

A plane-wave DFT calculation with GGA-PBE was carried out for a relaxed structure of BaMg2Au.

```
BaMg2Au
1.0
4.694 0.000 0.000
0.000 5.253 -0.046
0.000 1.898 5.218
Au Ba Mg
1 1 2
direct
0.500 0.250 0.250
0.500 0.750 0.750
0.000 0.413 0.426
0.000 0.087 0.074
```

Properties
Total magnetization: 0.0 μB per cell
ΔE_f: -1.2 eV/f.u.
Space group: No. 10

=====

A plane-wave DFT calculation with GGA-PBE was carried out for a relaxed structure of Ba3Mg2Au3.

```
Ba3Mg2Au3
1.0
7.302 0.000 0.000
0.000 8.677 0.000
0.000 0.000 16.383
Au Mg Ba
12 8 12
direct
0.907 0.811 0.046
0.440 0.681 0.250
0.407 0.689 0.546
0.407 0.689 0.954
0.907 0.811 0.454
0.940 0.819 0.750
0.093 0.189 0.546
0.593 0.311 0.454
0.560 0.319 0.750
0.093 0.189 0.954
0.593 0.311 0.046
0.060 0.181 0.250
0.625 0.622 0.411
0.125 0.878 0.911
0.375 0.378 0.911
0.875 0.122 0.089
0.125 0.878 0.589
0.625 0.622 0.089
0.375 0.378 0.589
0.875 0.122 0.411
0.658 0.022 0.894
0.342 0.978 0.394
0.342 0.978 0.106
0.158 0.478 0.106
0.158 0.478 0.394
0.373 0.674 0.750
0.842 0.522 0.606
0.627 0.326 0.250
0.842 0.522 0.894
0.873 0.826 0.250
0.127 0.174 0.750
0.658 0.022 0.606
```

Properties
Total magnetization: 0.0 μB per cell
ΔE_f: -4.7 eV/f.u.
Space group: No. 62

=====

A plane-wave DFT calculation with GGA-PBE was carried out for a relaxed structure of BaMgAu2.

```
BaMgAu2
1.0
-2.171 -0.350 -3.691
-2.365 -4.408 1.810
-3.657 3.405 1.828
Mg Au Ba
1 2 1
direct
0.500 0.512 0.488
0.500 0.007 0.396
0.500 0.604 0.993
0.000 0.092 0.908
```

Properties
Total magnetization: 0.0 μB per cell
ΔE_f: -2.2 eV/f.u.
Space group: No. 38

=====

A plane-wave DFT calculation with GGA-PBE was carried out for a relaxed structure of BaMg2Au.

```
BaMg2Au
1.0
-2.447 -4.786 -1.331
4.948 -2.480 -0.180
0.512 -5.759 8.245
Mg Ba Au
4 2 2
direct
0.875 0.125 0.250
0.875 0.625 0.250
0.875 0.125 0.750
0.375 0.125 0.750
0.500 0.500 0.000
0.250 0.750 0.500
0.750 0.250 0.500
0.000 0.000 0.000
```

Properties
Total magnetization: 0.0 μB per cell
ΔE_f: -0.6 eV/f.u.
Space group: No. 141

=====

A plane-wave DFT calculation with GGA-PBE was carried out for a relaxed structure of Ba2MgAu3.

```
Ba2MgAu3
1.0
-6.548 -0.668 -0.135
1.276 -6.367 1.083
2.328 4.865 7.815
Au Ba Mg
6 4 2
direct
0.347 0.825 0.172
0.827 0.827 0.654
0.175 0.653 0.828
0.825 0.347 0.172
0.653 0.175 0.828
0.173 0.173 0.346
0.760 0.760 0.000
0.240 0.240 0.000
0.750 0.250 0.500
0.250 0.750 0.500
0.666 0.666 0.332
0.334 0.334 0.668
```

Properties
Total magnetization: 0.0 μB per cell
ΔE_f: -3.8 eV/f.u.
Space group: No. 69

=====

A plane-wave DFT calculation with GGA-PBE was carried out for a relaxed structure of BaMg5Au2.

```
BaMg5Au2
1.0
4.259 0.000 1.416
1.637 6.652 2.189
-0.024 0.312 7.185
Mg Au Ba
5 2 1
direct
0.339 0.846 0.476
0.339 0.476 0.846
0.661 0.524 0.154
0.000 0.500 0.500
0.661 0.154 0.524
0.248 0.252 0.252
0.752 0.748 0.748
0.000 0.000 0.000
```

Properties
Total magnetization: 0.0 μB per cell
ΔE_f: -3.6 eV/f.u.
Space group: No. 71

=====

A plane-wave DFT calculation with GGA-PBE was carried out for a relaxed structure of BaMg10Au2.

```
BaMg10Au2
1.0
5.367 0.000 2.188
2.683 7.362 1.094
-0.042 0.000 7.779
Mg Au Ba
10 2 1
direct
0.488 0.234 0.790
0.984 0.365 0.666
0.016 0.635 0.334
0.651 0.365 0.334
0.349 0.635 0.666
0.722 0.766 0.790
0.278 0.234 0.210
0.500 0.000 0.500
0.000 0.000 0.500
0.512 0.766 0.210
0.500 0.500 0.000
0.000 0.500 0.000
0.000 0.000 0.000
```

Properties
Total magnetization: 0.0 μB per cell
ΔE_f: -2.9 eV/f.u.
Space group: No. 69

=====

A plane-wave DFT calculation with GGA-PBE was carried out for a relaxed structure of BaMg2Au.

```
BaMg2Au
1.0
-6.258 1.032 -0.078
-0.146 -1.503 -8.125
-2.814 -16.821 3.161
Mg Ba Au
16 8 8
direct
0.201 0.062 0.954
0.527 0.058 0.711
0.299 0.438 0.454
0.799 0.938 0.046
0.473 0.942 0.289
0.701 0.938 0.546
0.299 0.062 0.454
0.473 0.558 0.289
0.799 0.562 0.046
0.027 0.942 0.789
0.527 0.442 0.711
0.973 0.058 0.211
0.701 0.562 0.546
0.201 0.438 0.954
0.973 0.442 0.211
0.027 0.558 0.789
0.787 0.250 0.397
0.470 0.250 0.133
0.213 0.750 0.603
0.530 0.750 0.867
0.030 0.250 0.633
0.970 0.750 0.367
0.713 0.250 0.897
0.287 0.750 0.103
0.737 0.750 0.687
0.979 0.250 0.070
0.763 0.750 0.187
0.021 0.750 0.930
0.521 0.250 0.570
0.263 0.250 0.313
0.237 0.250 0.813
0.479 0.750 0.430
```

Properties
Total magnetization: 0.0 μB per cell
ΔE_f: -1.7 eV/f.u.
Space group: No. 62

=====

A plane-wave DFT calculation with GGA-PBE was carried out for a relaxed structure of Ba8Mg2Au.

```
Ba8Mg2Au
1.0
6.189 0.000 0.000
0.000 8.253 0.153
-3.094 -3.356 10.333
Ba Au Mg
8 1 2
direct
0.591 0.420 0.182
0.790 0.699 0.581
0.025 0.796 0.050
0.409 0.580 0.818
0.210 0.301 0.419
0.349 0.036 0.697
0.651 0.964 0.303
0.975 0.204 0.950
0.500 0.000 0.000
0.184 0.723 0.367
0.816 0.277 0.633
```

Properties
Total magnetization: 0.0 μB per cell
ΔE_f: -1.3 eV/f.u.
Space group: No. 12

=====

A plane-wave DFT calculation with GGA-PBE was carried out for a relaxed structure of BaMg3Au.

```
BaMg3Au
1.0
6.994 0.000 0.000
0.000 6.994 0.000
0.000 0.000 6.994
Mg Au Ba
3 1 1
direct
0.000 0.500 0.000
0.000 0.000 0.500
0.500 0.000 0.000
0.500 0.500 0.500
0.000 0.000 0.000
```

Properties
Total magnetization: 0.0 μB per cell
Energy above the most stable polymorph in this dataset: 1434.2 meV/atom
ΔE_f: 5.6 eV/f.u.
Space group: No. 221

=====

A plane-wave DFT calculation with GGA-PBE was carried out for a relaxed structure of BaMg2Au.

```
BaMg2Au
1.0
0.000 3.736 3.736
3.736 0.000 3.736
3.736 3.736 0.000
Au Mg Ba
1 2 1
direct
0.500 0.500 0.500
0.250 0.250 0.250
0.750 0.750 0.750
0.000 0.000 0.000
```

Properties
Total magnetization: 0.0 μB per cell
ΔE_f: -0.6 eV/f.u.
Space group: No. 225

=====

A plane-wave DFT calculation with GGA-PBE was carried out for a relaxed structure of BaMg2Au.

```
BaMg2Au
1.0
4.554 0.000 0.000
0.000 4.146 0.022
0.000 1.983 6.633
Au Mg Ba
1 2 1
direct
0.000 0.343 0.440
0.000 0.987 0.145
0.500 0.448 0.225
0.500 0.722 0.690
```

Properties
Total magnetization: 0.0 μB per cell
ΔE_f: -1.3 eV/f.u.
Space group: No. 6

=====

A plane-wave DFT calculation with GGA-PBE was carried out for a relaxed structure of BaMgAu2.

```
BaMgAu2
1.0
-2.552 2.747 -1.430
-1.921 -2.860 -2.066
-4.232 -1.095 5.450
Ba Au Mg
1 2 1
direct
0.000 0.000 0.464
0.500 0.500 0.240
0.000 0.000 0.937
0.500 0.500 0.859
```

Properties
Total magnetization: 0.0 μB per cell
ΔE_f: -1.7 eV/f.u.
Space group: No. 99

=====

A plane-wave DFT calculation with GGA-PBE was carried out for a relaxed structure of Ba2Mg3Au2.

```
Ba2Mg3Au2
1.0
4.486 0.000 0.000
-2.243 5.514 -2.503
0.000 -0.446 8.487
Mg Au Ba
3 2 2
direct
0.353 0.706 0.571
0.500 0.000 0.000
0.647 0.294 0.429
0.856 0.712 0.779
0.144 0.288 0.221
0.136 0.271 0.774
0.864 0.729 0.226
```

Properties
Total magnetization: 0.0 μB per cell
ΔE_f: -3.4 eV/f.u.
Space group: No. 12

=====

A plane-wave DFT calculation with GGA-PBE was carried out for a relaxed structure of BaMgAu.

```
BaMgAu
1.0
-1.119 3.677 2.664
-4.189 0.224 -2.068
-3.139 -5.158 5.801
Mg Au Ba
2 2 2
direct
0.000 0.000 0.500
0.500 0.500 0.500
0.500 0.000 0.696
0.000 0.500 0.304
0.000 0.500 0.839
0.500 0.000 0.161
```

Properties
Total magnetization: 0.0 μB per cell
ΔE_f: -1.7 eV/f.u.
Space group: No. 129

=====

A plane-wave DFT calculation with GGA-PBE was carried out for a relaxed structure of BaMgAu2.

```
BaMgAu2
1.0
4.678 0.009 0.027
2.333 4.055 0.027
2.280 1.321 6.034
Ba Au Mg
1 2 1
direct
0.512 0.512 0.469
0.705 0.705 0.884
0.965 0.965 0.104
0.319 0.319 0.043
```

Properties
Total magnetization: 0.0 μB per cell
ΔE_f: -2.2 eV/f.u.
Space group: No. 8

=====

A plane-wave DFT calculation with GGA-PBE was carried out for a relaxed structure of Ba6MgAu3.

```
Ba6MgAu3
1.0
4.739 0.000 0.000
0.000 11.145 -4.731
0.000 0.710 16.771
Au Ba Mg
6 12 2
direct
0.750 0.667 0.483
0.250 0.333 0.517
0.250 0.915 0.978
0.750 0.332 0.854
0.250 0.668 0.146
0.750 0.085 0.022
0.250 0.863 0.570
0.250 0.269 0.692
0.750 0.137 0.430
0.250 0.159 0.168
0.750 0.841 0.832
0.750 0.521 0.613
0.250 0.164 0.909
0.750 0.836 0.091
0.750 0.436 0.086
0.250 0.479 0.387
0.250 0.564 0.914
0.750 0.731 0.308
0.750 0.072 0.731
0.250 0.928 0.269
```

Properties
Total magnetization: 0.0 μB per cell
ΔE_f: -4.1 eV/f.u.
Space group: No. 11

=====

A plane-wave DFT calculation with GGA-PBE was carried out for a relaxed structure of Ba4MgAu.

```
Ba4MgAu
1.0
0.580 1.903 7.027
3.235 6.288 1.825
-3.984 5.528 2.627
Ba Mg Au
4 1 1
direct
0.374 0.877 0.374
0.374 0.374 0.374
0.374 0.374 0.877
0.877 0.374 0.374
0.750 0.750 0.750
0.000 0.000 0.000
```

Properties
Total magnetization: 0.8 μB per cell
Energy above the most stable polymorph in this dataset: 644.2 meV/atom
ΔE_f: 2.5 eV/f.u.
Space group: No. 216